# 1
The following is a PBE calculation of an optimized crystal structure of Cu3Re5, from Alexandria via LeMat-Bulk.

space group	Cmmm
energy	-8.99	eV/atom
energy of formation from the pure elements	328	meV/atom
energy relative to the lowest polymorph listed for this composition	0	meV per atom

Geometry as extended XYZ:
```
8
Lattice="-2.780 4.662 0.485 -3.932 -2.300 -2.991 -1.631 -1.300 3.143" Properties=species:S:1:pos:R:3 pbc="T T T"
Cu -3.356 1.181 -1.253
Cu -2.533 -0.045 0.930
Cu -5.810 1.108 -0.293
Re 0.000 0.000 0.000
Re -1.966 -1.150 -1.496
Re -1.390 2.331 0.242
Re -3.878 2.307 1.205
Re -4.465 -1.244 -0.568
```

***

# 2
The following is a PBE calculation of an optimized crystal structure of CuRe2, from Alexandria via LeMat-Bulk.

space group	Fd-3m
energy	-8.90	eV/atom
energy of formation from the pure elements	767	meV/atom
energy relative to the lowest polymorph listed for this composition	633	meV per atom

Geometry as extended XYZ:
```
6
Lattice="0.000 3.638 3.638 3.638 0.000 3.638 3.638 3.638 0.000" Properties=species:S:1:pos:R:3 pbc="T T T"
Cu 0.000 0.000 0.000
Cu 1.819 1.819 1.819
Re 4.547 4.547 4.547
Re 4.547 2.728 2.728
Re 2.728 4.547 2.728
Re 2.728 2.728 4.547
```